Here is a relaxed structure of Zr2ZnCr from Alexandria via LeMat-Bulk. Energies are from PBE-GGA.

The structure belongs to space group Imm2 (No. 44); the cell edges are 3.192, 4.771 and 9.776 Å and the angles 90.00°, 90.00° and 90.00°. The asymmetric unit holds Zr at (0.000, 0.000, 0.000), Zr at (0.000, 0.500, 0.220), Zn at (0.000, 0.000, 0.457) and Cr at (0.000, 0.500, 0.744).

The final energy is -0.254 Ha/atom. Its crystal system is orthorhombic. As for the calculated formation energy: 0.0843 eV/atom.